Entry 1:
DFT (PBE) results for a geometry-optimized Nb3CoIr structure.

Results
**N(E_F)**: 8.963 states/eV/cell
**Energy**: -7.877 eV per atom
**SG**: No. 221
**Formation energy**: 1357.9 meV/atom

a = 4.8150 Å, b = 4.8150 Å, c = 4.8150 Å
α = 90.00°, β = 90.00°, γ = 90.00°
With the nearest neighbours (Å) after each atom.
Element x y z (fractional)
Nb (0.0000, 0.0000, 0.5000)  2 Ir 2.41
Nb (0.0000, 0.5000, 0.0000)  2 Ir 2.41
Nb (0.5000, 0.0000, 0.0000)  2 Ir 2.41
Co (0.5000, 0.5000, 0.5000)  12 Nb 3.40
Ir (0.0000, 0.0000, 0.0000)  6 Nb 2.41

=====

Entry 2:
DFT (PBE) results for a geometry-optimized NbCo3Ir structure.

Results
**N(E_F)**: 7.473 states/eV/cell
**Energy**: -6.424 eV per atom
**SG**: No. 221
**Formation energy**: 1626.1 meV/atom

a = 4.3386 Å, b = 4.3386 Å, c = 4.3386 Å
α = 90.00°, β = 90.00°, γ = 90.00°
With the nearest neighbours (Å) after each atom.
Element x y z (fractional)
Nb (0.0000, 0.0000, 0.0000)  6 Co 2.17
Co (0.0000, 0.0000, 0.5000)  2 Nb 2.17
Co (0.0000, 0.5000, 0.0000)  2 Nb 2.17
Co (0.5000, 0.0000, 0.0000)  2 Nb 2.17
Ir (0.5000, 0.5000, 0.5000)  12 Co 3.07

=====

Entry 3:
DFT (PBE) results for a geometry-optimized NbCoIr3 structure.

Results
**N(E_F)**: 6.603 states/eV/cell
**Energy**: -7.635 eV per atom
**SG**: No. 221
**Formation energy**: 1116.6 meV/atom

a = 4.4181 Å, b = 4.4181 Å, c = 4.4181 Å
α = 90.00°, β = 90.00°, γ = 90.00°
With the nearest neighbours (Å) after each atom.
Element x y z (fractional)
Nb (0.0000, 0.0000, 0.0000)  12 Ir 3.12
Co (0.5000, 0.5000, 0.5000)  6 Ir 2.21
Ir (0.0000, 0.5000, 0.5000)  2 Co 2.21
Ir (0.5000, 0.0000, 0.5000)  2 Co 2.21
Ir (0.5000, 0.5000, 0.0000)  2 Co 2.21

=====

Entry 4:
DFT (PBE) results for a geometry-optimized Nb2CoIr structure.

Results
**N(E_F)**: 24.406 states/eV/cell
**Energy**: -8.829 eV per atom
**SG**: No. 122
**Formation energy**: 197.9 meV/atom

a = 6.9638 Å, b = 6.9638 Å, c = 5.3831 Å
α = 90.00°, β = 90.00°, γ = 90.00°
With the nearest neighbours (Å) after each atom.
Element x y z (fractional)
Nb (0.2310, 0.2500, 0.1250)  2 Co 2.46, 2 Ir 2.64, 2 Nb 2.70
Nb (0.2500, 0.7310, 0.3750)  2 Co 2.46, 2 Ir 2.64, 2 Nb 2.70
Nb (0.2500, 0.7690, 0.8750)  2 Co 2.46, 2 Ir 2.64, 2 Nb 2.70
Nb (0.2690, 0.2500, 0.6250)  2 Co 2.46, 2 Ir 2.64, 2 Nb 2.70
Nb (0.7310, 0.7500, 0.6250)  2 Co 2.46, 2 Ir 2.64, 2 Nb 2.70
Nb (0.7500, 0.2310, 0.8750)  2 Co 2.46, 2 Ir 2.64, 2 Nb 2.70
Nb (0.7500, 0.2690, 0.3750)  2 Co 2.46, 2 Ir 2.64, 2 Nb 2.70
Nb (0.7690, 0.7500, 0.1250)  2 Co 2.46, 2 Ir 2.64, 2 Nb 2.70
Co (0.0000, 0.0000, 0.0000)  4 Nb 2.46, 2 Ir 2.69
Co (0.0000, 0.5000, 0.2500)  4 Nb 2.46, 2 Ir 2.69
Co (0.5000, 0.0000, 0.7500)  4 Nb 2.46, 2 Ir 2.69
Co (0.5000, 0.5000, 0.5000)  4 Nb 2.46, 2 Ir 2.69
Ir (0.0000, 0.0000, 0.5000)  4 Nb 2.64, 2 Co 2.69
Ir (0.0000, 0.5000, 0.7500)  4 Nb 2.64, 2 Co 2.69
Ir (0.5000, 0.0000, 0.2500)  4 Nb 2.64, 2 Co 2.69
Ir (0.5000, 0.5000, 0.0000)  4 Nb 2.64, 2 Co 2.69

=====

Entry 5:
DFT (PBE) results for a geometry-optimized Nb3CoIr structure.

Results
**N(E_F)**: 5.648 states/eV/cell
**Energy**: -8.551 eV per atom
**SG**: No. 221
**Formation energy**: 683.8 meV/atom

a = 4.5140 Å, b = 4.5140 Å, c = 4.5140 Å
α = 90.00°, β = 90.00°, γ = 90.00°
With the nearest neighbours (Å) after each atom.
Element x y z (fractional)
Nb (0.0000, 0.0000, 0.5000)  2 Co 2.26
Nb (0.0000, 0.5000, 0.0000)  2 Co 2.26
Nb (0.5000, 0.0000, 0.0000)  2 Co 2.26
Co (0.0000, 0.0000, 0.0000)  6 Nb 2.26
Ir (0.5000, 0.5000, 0.5000)  12 Nb 3.19

=====

Entry 6:
DFT (PBE) results for a geometry-optimized NbCoIr2 structure.

Results
**N(E_F)**: 35.929 states/eV/cell
**Energy**: -8.819 eV per atom
**SG**: No. 225
**Formation energy**: -94.7 meV/atom

a = 6.1967 Å, b = 6.1967 Å, c = 6.1967 Å
α = 90.00°, β = 90.00°, γ = 90.00°
With the nearest neighbours (Å) after each atom.
Element x y z (fractional)
Nb (0.0000, 0.0000, 0.0000)  8 Ir 2.68
Nb (0.0000, 0.5000, 0.5000)  8 Ir 2.68
Nb (0.5000, 0.0000, 0.5000)  8 Ir 2.68
Nb (0.5000, 0.5000, 0.0000)  8 Ir 2.68
Co (0.0000, 0.0000, 0.5000)  8 Ir 2.68
Co (0.0000, 0.5000, 0.0000)  8 Ir 2.68
Co (0.5000, 0.0000, 0.0000)  8 Ir 2.68
Co (0.5000, 0.5000, 0.5000)  8 Ir 2.68
Ir (0.2500, 0.2500, 0.2500)  4 Nb 2.68, 4 Co 2.68
Ir (0.2500, 0.2500, 0.7500)  4 Nb 2.68, 4 Co 2.68
Ir (0.2500, 0.7500, 0.2500)  4 Nb 2.68, 4 Co 2.68
Ir (0.2500, 0.7500, 0.7500)  4 Nb 2.68, 4 Co 2.68
Ir (0.7500, 0.2500, 0.2500)  4 Nb 2.68, 4 Co 2.68
Ir (0.7500, 0.2500, 0.7500)  4 Nb 2.68, 4 Co 2.68
Ir (0.7500, 0.7500, 0.2500)  4 Co 2.68, 4 Nb 2.68
Ir (0.7500, 0.7500, 0.7500)  4 Nb 2.68, 4 Co 2.68